A plane-wave DFT calculation with GGA-PBE was carried out for an optimized crystal structure of DyCd6Ag6.

symmetry: P6/mmm
total magnetic moment: 0.00 μB per formula unit
offset from the most stable computed form: 0.0 meV/atom

Cell: 5.677 5.677 9.737 Å, 90.00 90.00 120.00°
Positions (direct):
Dy1 0.000 0.000 0.000
Cd1 0.000 0.000 0.347
Cd2 0.000 0.000 0.653
Cd3 0.333 0.667 0.000
Cd4 0.333 0.667 0.500
Cd5 0.667 0.333 0.000
Cd6 0.667 0.333 0.500
Ag1 0.000 0.500 0.245
Ag2 0.000 0.500 0.755
Ag3 0.500 0.000 0.245
Ag4 0.500 0.000 0.755
Ag5 0.500 0.500 0.245
Ag6 0.500 0.500 0.755